# 1
An optimized crystal structure of TbPuGeIr. Source: Alexandria via LeMat-Bulk, functional GGA-PBE.

Cell: 7.022 7.022 7.022 Å, 90.00 90.00 90.00°
Fractional coordinates of all 16 atoms:
Tb  0.000  0.000  0.000
Tb  0.000  0.500  0.500
Tb  0.500  0.000  0.500
Tb  0.500  0.500  0.000
Pu  0.000  0.000  0.500
Pu  0.000  0.500  0.000
Pu  0.500  0.000  0.000
Pu  0.500  0.500  0.500
Ge  0.250  0.250  0.250
Ge  0.250  0.750  0.750
Ge  0.750  0.250  0.750
Ge  0.750  0.750  0.250
Ir  0.250  0.250  0.750
Ir  0.250  0.750  0.250
Ir  0.750  0.250  0.250
Ir  0.750  0.750  0.750

Calculated total energy, eV/atom: -8.59
Formation energy from the elements, eV/atom: -0.484

---

# 2
An optimized crystal structure of Pm3GaPt3. Source: Alexandria via LeMat-Bulk, functional GGA-PBE.

Cell: 5.877 5.877 14.895 Å, 108.18 108.18 41.40°
Fractional coordinates of all 14 atoms:
Pm  0.022  0.022  0.384
Pm  0.106  0.106  0.924
Pm  0.239  0.239  0.228
Pm  0.761  0.761  0.772
Pm  0.894  0.894  0.076
Pm  0.978  0.978  0.616
Ga  0.268  0.268  0.602
Ga  0.732  0.732  0.398
Pt  0.364  0.364  0.454
Pt  0.377  0.377  0.923
Pt  0.476  0.476  0.766
Pt  0.524  0.524  0.234
Pt  0.623  0.623  0.077
Pt  0.636  0.636  0.546

Calculated total energy, eV/atom: -6.14
Excess energy over the best structure of this formula in the dataset, meV per atom: 0
Formation energy from the elements, eV/atom: -1.078

---

# 3
An optimized crystal structure of KMg2Si. Source: Alexandria via LeMat-Bulk, functional GGA-PBE.

Cell: 3.117 4.195 8.184 Å, 90.00 90.00 90.00°
Fractional coordinates of all 4 atoms:
K  0.000  0.000  0.000
Mg  0.000  0.000  0.576
Mg  0.500  0.500  0.356
Si  0.500  0.500  0.702

Calculated total energy, eV/atom: -2.30

---

# 4
An optimized crystal structure of CdPd2F4. Source: Alexandria via LeMat-Bulk, functional GGA-PBE.

Cell: 4.653 4.653 11.051 Å, 90.00 90.00 90.00°
Fractional coordinates of all 14 atoms:
Cd  0.000  0.000  0.000
Cd  0.500  0.500  0.500
Pd  0.000  0.000  0.389
Pd  0.000  0.000  0.611
Pd  0.500  0.500  0.111
Pd  0.500  0.500  0.889
F  0.000  0.000  0.196
F  0.000  0.000  0.804
F  0.000  0.500  0.000
F  0.000  0.500  0.500
F  0.500  0.000  0.000
F  0.500  0.000  0.500
F  0.500  0.500  0.304
F  0.500  0.500  0.696

Calculated total energy, eV/atom: -3.68

---

# 5
An optimized crystal structure of Ba2CuTc. Source: Alexandria via LeMat-Bulk, functional GGA-PBE.

Cell: 7.559 7.559 7.559 Å, 90.00 90.00 90.00°
Fractional coordinates of all 16 atoms:
Ba  0.000  0.000  0.000
Ba  0.000  0.500  0.500
Ba  0.250  0.250  0.250
Ba  0.250  0.750  0.750
Ba  0.500  0.000  0.500
Ba  0.500  0.500  0.000
Ba  0.750  0.250  0.750
Ba  0.750  0.750  0.250
Cu  0.000  0.000  0.500
Cu  0.000  0.500  0.000
Cu  0.500  0.000  0.000
Cu  0.500  0.500  0.500
Tc  0.250  0.250  0.750
Tc  0.250  0.750  0.250
Tc  0.750  0.250  0.250
Tc  0.750  0.750  0.750

Calculated total energy, eV/atom: -3.68
Excess energy over the best structure of this formula in the dataset, meV per atom: 482
Formation energy from the elements, eV/atom: 0.894

---

# 6
An optimized crystal structure of Ta4VMo3. Source: Alexandria via LeMat-Bulk, functional GGA-PBE.

Cell: 3.222 4.551 9.084 Å, 90.00 90.00 90.00°
Fractional coordinates of all 8 atoms:
Ta  0.000  0.000  0.000
Ta  0.000  0.000  0.500
Ta  0.000  0.500  0.249
Ta  0.000  0.500  0.751
V  0.500  0.500  0.000
Mo  0.500  0.000  0.246
Mo  0.500  0.000  0.754
Mo  0.500  0.500  0.500

Calculated total energy, eV/atom: -11.28
Formation energy from the elements, eV/atom: -0.149

---

# 7
An optimized crystal structure of K3CaMg2Cl9. Source: Alexandria via LeMat-Bulk, functional GGA-PBE.

Cell: 7.251 7.251 8.967 Å, 90.00 90.00 120.00°
Fractional coordinates of all 15 atoms:
K  0.000  0.000  0.000
K  0.333  0.667  0.686
K  0.667  0.333  0.314
Ca  0.000  0.000  0.500
Mg  0.333  0.667  0.161
Mg  0.667  0.333  0.839
Cl  0.000  0.500  0.000
Cl  0.172  0.344  0.321
Cl  0.172  0.828  0.321
Cl  0.344  0.172  0.679
Cl  0.500  0.000  0.000
Cl  0.500  0.500  0.000
Cl  0.656  0.828  0.321
Cl  0.828  0.172  0.679
Cl  0.828  0.656  0.679

Calculated total energy, eV/atom: -3.67

---

# 8
An optimized crystal structure of SrBr. Source: Alexandria via LeMat-Bulk, functional GGA-PBE.

Cell: 3.936 3.936 4.170 Å, 90.00 90.00 90.00°
Fractional coordinates of all 2 atoms:
Sr  0.000  0.000  0.000
Br  0.500  0.500  0.500

Calculated total energy, eV/atom: -2.81

---

Number 1: total magnetic moment 19.4 Bohr magnetons per cell. Number 2: total magnetic moment 0.0 Bohr magnetons per cell. Number 3: total magnetic moment 0.0 Bohr magnetons per cell. Number 4: total magnetic moment 4.1 Bohr magnetons per cell. Number 5: total magnetic moment 8.5 Bohr magnetons per cell. Number 6: total magnetic moment 0.0 Bohr magnetons per cell. Number 7: total magnetic moment 0.0 Bohr magnetons per cell. Number 8: total magnetic moment 0.6 Bohr magnetons per cell.